[1]
{
  "formula": "Ac2Ni9Ag",
  "functional": "PBE",
  "state": "optimized geometry",
  "lattice_angstrom": [[2.5305, 1.4610, 8.3510], [-2.5305, 1.4610, 8.3510], [0.0000, -2.9219, 8.3510]],
  "species": ["Ac", "Ac", "Ni", "Ni", "Ni", "Ni", "Ni", "Ni", "Ni", "Ni", "Ni", "Ag"],
  "frac_coords": [[0.1318, 0.1318, 0.1318], [0.8682, 0.8682, 0.8682], [0.0788, 0.5763, 0.5763], [0.3324, 0.3324, 0.3324], [0.4237, 0.4237, 0.9212], [0.4237, 0.9212, 0.4237], [0.5000, 0.5000, 0.5000], [0.5763, 0.0788, 0.5763], [0.5763, 0.5763, 0.0788], [0.6676, 0.6676, 0.6676], [0.9212, 0.4237, 0.4237], [0.0000, 0.0000, 0.0000]],
  "e_form_ev_per_atom": -0.019,
  "dos_ef_per_ev_fu": 11.86
}

=====

[2]
{
  "formula": "Sm2Dy3Tm6Pb",
  "functional": "PBE",
  "state": "optimized geometry",
  "lattice_angstrom": [[3.0249, -5.2419, 0.0000], [3.0249, 5.2419, 0.0000], [-2.0276, 0.0000, 11.4529]],
  "species": ["Sm", "Sm", "Dy", "Dy", "Dy", "Tm", "Tm", "Tm", "Tm", "Tm", "Tm", "Pb"],
  "frac_coords": [[0.1661, 0.8339, 0.0000], [0.8339, 0.1661, 0.0000], [0.0000, 0.0000, 0.5000], [0.3329, 0.6671, 0.5000], [0.6671, 0.3329, 0.5000], [0.0893, 0.4175, 0.7501], [0.2547, 0.2547, 0.2509], [0.4175, 0.0893, 0.7501], [0.5825, 0.9107, 0.2499], [0.7453, 0.7453, 0.7491], [0.9107, 0.5825, 0.2499], [0.5000, 0.5000, 0.0000]],
  "e_form_ev_per_atom": -0.060,
  "dos_ef_per_ev_fu": 14.05
}

=====

[3]
{
  "formula": "LiTbGaRu",
  "functional": "PBE",
  "state": "optimized geometry",
  "lattice_angstrom": [[0.0000, 3.2626, 3.2626], [3.2626, 0.0000, 3.2626], [3.2626, 3.2626, 0.0000]],
  "species": ["Li", "Tb", "Ga", "Ru"],
  "frac_coords": [[0.0000, 0.0000, 0.0000], [0.7500, 0.7500, 0.7500], [0.2500, 0.2500, 0.2500], [0.5000, 0.5000, 0.5000]],
  "e_form_ev_per_atom": -0.306,
  "dos_ef_per_ev_fu": 2.09
}

=====

[4]
{
  "formula": "TaZn2In",
  "functional": "PBE",
  "state": "optimized geometry",
  "lattice_angstrom": [[5.4073, -1.4323, 0.0000], [5.4073, 1.4323, 0.0000], [-2.4810, 0.0000, 4.5836]],
  "species": ["Ta", "Zn", "Zn", "In"],
  "frac_coords": [[0.0000, 0.0000, 0.0000], [0.2548, 0.2548, 0.9421], [0.5126, 0.5126, 0.5202], [0.7556, 0.7556, 0.4335]],
  "e_form_ev_per_atom": 0.159,
  "dos_ef_per_ev_fu": 1.99
}

=====

[5]
{
  "formula": "YHoTlCd",
  "functional": "PBE",
  "state": "optimized geometry",
  "lattice_angstrom": [[0.0000, 3.7629, 3.7629], [3.7629, 0.0000, 3.7629], [3.7629, 3.7629, 0.0000]],
  "species": ["Y", "Ho", "Tl", "Cd"],
  "frac_coords": [[0.0000, 0.0000, 0.0000], [0.5000, 0.5000, 0.5000], [0.2500, 0.2500, 0.2500], [0.7500, 0.7500, 0.7500]],
  "e_form_ev_per_atom": -0.351,
  "dos_ef_per_ev_fu": 4.38
}

=====

[6]
{
  "formula": "CdTe2Ir",
  "functional": "PBE",
  "state": "optimized geometry",
  "lattice_angstrom": [[-3.1845, 3.1845, 6.1553], [3.1845, -3.1845, 6.1553], [3.1845, 3.1845, -6.1553]],
  "species": ["Cd", "Cd", "Te", "Te", "Te", "Te", "Ir", "Ir"],
  "frac_coords": [[0.0000, 0.0000, 0.0000], [0.7500, 0.2500, 0.5000], [0.1718, 0.6250, 0.0468], [0.3750, 0.4218, 0.5468], [0.5782, 0.1250, 0.9532], [0.8750, 0.8282, 0.4532], [0.2500, 0.7500, 0.5000], [0.5000, 0.5000, 0.0000]],
  "dos_ef_per_ev_fu": 3.05,
  "raw_formation_energy_ev_per_atom": 0.028
}

=====

Copy entry 2 word for word.
{
  "formula": "Sm2Dy3Tm6Pb",
  "functional": "PBE",
  "state": "optimized geometry",
  "lattice_angstrom": [[3.0249, -5.2419, 0.0000], [3.0249, 5.2419, 0.0000], [-2.0276, 0.0000, 11.4529]],
  "species": ["Sm", "Sm", "Dy", "Dy", "Dy", "Tm", "Tm", "Tm", "Tm", "Tm", "Tm", "Pb"],
  "frac_coords": [[0.1661, 0.8339, 0.0000], [0.8339, 0.1661, 0.0000], [0.0000, 0.0000, 0.5000], [0.3329, 0.6671, 0.5000], [0.6671, 0.3329, 0.5000], [0.0893, 0.4175, 0.7501], [0.2547, 0.2547, 0.2509], [0.4175, 0.0893, 0.7501], [0.5825, 0.9107, 0.2499], [0.7453, 0.7453, 0.7491], [0.9107, 0.5825, 0.2499], [0.5000, 0.5000, 0.0000]],
  "e_form_ev_per_atom": -0.060,
  "dos_ef_per_ev_fu": 14.05
}